Entry 1:
Here is Ba2CoBr at its PBEsol-relaxed geometry from Alexandria. Energies are from meta-GGA SCAN.

```
Ba2CoBr
1.0
3.756 0.000 0.000
0.000 3.756 0.000
-0.002 0.000 8.241
Ba Co Br
2 1 1
direct
0.002 0.000 0.218
0.998 0.000 0.782
0.500 0.500 0.000
0.500 0.500 0.500
```

Computed properties:
E above lowest polymorph   0.000 eV/atom
E_form (uncorrected)   -0.5747 eV/atom

Entry 2:
Here is BaCoBr at its PBEsol-relaxed geometry from Alexandria. Energies are from meta-GGA SCAN.

```
BaCoBr
1.0
4.366 0.000 0.000
0.000 4.366 0.000
0.000 0.000 9.286
Ba Co Br
2 2 2
direct
0.000 0.000 0.000
0.500 0.500 0.500
0.000 0.000 0.391
0.500 0.500 0.891
0.000 0.000 0.648
0.500 0.500 0.148
```

Computed properties:
E_form (uncorrected)   -0.2721 eV/atom